No. 1
# MoSe

Crystalline MoSe at its relaxed geometry (PBE, Alexandria).

Lattice parameters (Å, degrees): 3.155 3.155 3.142 90.00 90.00 90.00
Element x y z (fractional)
Mo 0.000 0.000 0.000
Se 0.500 0.500 0.500

Calculated values
E_form (uncorrected)   0.089 eV/atom
Offset from the most stable computed form   369 meV/atom
Size of the total moment   0.00 μB/f.u.

***

No. 2
# Pd2Pt8Au

Crystalline Pd2Pt8Au at its relaxed geometry (PBE, Alexandria).

Lattice parameters (Å, degrees): 7.355 7.355 7.355 149.13 114.66 74.01
Element x y z (fractional)
Pd 0.156 0.156 0.000
Pd 0.844 0.844 0.000
Pt 0.078 0.334 0.744
Pt 0.242 0.000 0.242
Pt 0.331 0.831 0.500
Pt 0.410 0.666 0.744
Pt 0.590 0.334 0.256
Pt 0.669 0.169 0.500
Pt 0.758 0.000 0.758
Pt 0.922 0.666 0.256
Au 0.500 0.500 0.000

Calculated values
ΔE_f   0.09 eV per atom
Size of the total moment   0.00 μB/f.u.